## AcSmRh4 (PBE-GGA)

Data for a geometry-optimized AcSmRh4 structure.

Unit cell a=5.470 b=5.470 c=5.470 alpha=60.00 beta=60.00 gamma=60.00
Fractional positions:
Rh 0.127 0.624 0.624
Rh 0.624 0.624 0.624
Rh 0.624 0.127 0.624
Rh 0.624 0.624 0.127
Ac 0.000 0.000 0.000
Sm 0.250 0.250 0.250

Crystal system = cubic
Energy of formation from the pure elements = -0.61 eV/atom
Space group = F-43m (216)